## CsTlAsIr (PBE)

Data for a relaxed structure of CsTlAsIr.

Cell and atoms, written as POSCAR:
```
CsTlAsIr
1.0
-4.184 -0.104 -0.341
-0.340 -0.043 4.186
-0.367 14.337 0.116
Cs Tl As Ir
2 2 2 2
direct
0.750 0.750 0.242
0.250 0.250 0.758
0.250 0.750 0.500
0.750 0.250 0.500
0.750 0.750 0.906
0.250 0.250 0.094
0.750 0.250 0.000
0.250 0.750 0.000
```

Calculated values
- spin magnetization (μB per formula unit) = 0.0
- formation energy from the elements (eV/atom) = -0.26